An optimized crystal structure of Sr3YW. Source: the Alexandria database, functional PBE-GGA.

a = 5.978 Å, b = 5.978 Å, c = 5.978 Å
α = 90.00°, β = 90.00°, γ = 90.00°
Fractional positions:
Sr 0.000 0.000 0.500
Sr 0.000 0.500 0.000
Sr 0.500 0.000 0.000
Y 0.500 0.500 0.500
W 0.000 0.000 0.000

Computed properties:
calculated density	4163	kg/m³
E_form	1136	meV per atom
crystal system	cubic
excess energy over the best structure of this formula in the dataset	0.0	kJ/mol of formula units
density of states at the Fermi level	5.51	states/eV/f.u.

***

An optimized crystal structure of CdAgSb2. Source: the Alexandria database, functional PBE-GGA.

a = 4.258 Å, b = 4.404 Å, c = 5.235 Å
α = 90.00°, β = 90.00°, γ = 90.00°
Fractional positions:
Cd 0.000 0.000 0.000
Ag 0.500 0.000 0.500
Sb 0.000 0.500 0.500
Sb 0.500 0.500 0.000

Computed properties:
E_form (uncorrected)	173	meV/atom
calculated density	7846	kg/m³
crystal system	orthorhombic
excess energy over the best structure of this formula in the dataset	36.4	kJ/mol of formula units
density of states at the Fermi level	1.69	states/eV/f.u.